No. 1
The following is a GGA-PBE calculation of an optimized crystal structure of AcTm3Mg8, from Alexandria via LeMat-Bulk.

Structure (POSCAR):
```
AcTm3Mg8
1.0
6.099 0.000 0.000
-3.050 5.282 0.000
0.000 0.000 9.884
Ac Tm Mg
1 3 8
direct
0.000 0.000 0.000 Ac
0.000 0.000 0.380 Tm
0.667 0.333 0.494 Tm
0.667 0.333 0.859 Tm
0.164 0.328 0.678 Mg
0.164 0.836 0.678 Mg
0.333 0.667 0.434 Mg
0.333 0.667 0.932 Mg
0.504 0.009 0.191 Mg
0.504 0.496 0.191 Mg
0.672 0.836 0.678 Mg
0.991 0.496 0.191 Mg
```

Properties
Energy relative to the elements (eV per formula unit): -0.7
Density of states at the Fermi level (states/eV per cell): 11.36
Space-group type: P3m1
Electronic total energy (eV/atom): -2.582

No. 2
The following is a GGA-PBE calculation of an optimized crystal structure of Co3SbBr9, from Alexandria via LeMat-Bulk.

Structure (POSCAR):
```
Co3SbBr9
1.0
9.304 -4.679 0.000
9.304 4.679 0.000
-8.392 0.000 10.344
Co Sb Br
6 2 18
direct
0.080 0.920 0.500 Co
0.291 0.453 0.548 Co
0.453 0.291 0.048 Co
0.667 0.896 0.160 Co
0.896 0.667 0.660 Co
0.920 0.080 0.000 Co
0.410 0.875 0.333 Sb
0.875 0.410 0.833 Sb
0.034 0.046 0.698 Br
0.046 0.034 0.198 Br
0.060 0.811 0.860 Br
0.095 0.416 0.558 Br
0.156 0.620 0.417 Br
0.178 0.410 0.892 Br
0.305 0.959 0.532 Br
0.410 0.178 0.392 Br
0.416 0.095 0.058 Br
0.492 0.509 0.253 Br
0.509 0.492 0.753 Br
0.572 0.733 0.158 Br
0.620 0.156 0.917 Br
0.719 0.856 0.540 Br
0.733 0.572 0.658 Br
0.811 0.060 0.360 Br
0.856 0.719 0.040 Br
0.959 0.305 0.032 Br
```

Properties
Raw formation energy (eV/atom): -0.339
Density of states at the Fermi level (states/eV per cell): 1.02
Space-group type: Cc
Electronic total energy (eV/atom): -3.454

No. 3
The following is a GGA-PBE calculation of an optimized crystal structure of Zn2SeCl2O3, from Alexandria via LeMat-Bulk.

Structure (POSCAR):
```
Zn2SeCl2O3
1.0
7.960 0.000 0.000
0.000 10.485 0.000
-1.207 0.000 7.749
Zn Se Cl O
8 4 8 12
direct
0.081 0.222 0.123 Zn
0.081 0.278 0.623 Zn
0.220 0.508 0.890 Zn
0.220 0.992 0.390 Zn
0.780 0.008 0.610 Zn
0.780 0.492 0.110 Zn
0.919 0.722 0.377 Zn
0.919 0.778 0.877 Zn
0.183 0.034 0.811 Se
0.183 0.466 0.311 Se
0.817 0.534 0.689 Se
0.817 0.966 0.189 Se
0.219 0.714 0.960 Cl
0.219 0.786 0.460 Cl
0.383 0.103 0.235 Cl
0.383 0.397 0.735 Cl
0.617 0.603 0.265 Cl
0.617 0.897 0.765 Cl
0.781 0.214 0.540 Cl
0.781 0.286 0.040 Cl
0.009 0.050 0.224 O
0.009 0.450 0.724 O
0.115 0.181 0.876 O
0.115 0.319 0.376 O
0.192 0.093 0.604 O
0.192 0.407 0.104 O
0.808 0.593 0.896 O
0.808 0.907 0.396 O
0.885 0.681 0.624 O
0.885 0.819 0.124 O
0.991 0.550 0.276 O
0.991 0.950 0.776 O
```

Properties
Raw formation energy (eV/atom): -1.104
Density of states at the Fermi level (states/eV per cell): 0.00
Space-group type: P2_1/c
Electronic total energy (eV/atom): -4.179

No. 4
The following is a GGA-PBE calculation of an optimized crystal structure of CaTbYOs, from Alexandria via LeMat-Bulk.

Structure (POSCAR):
```
CaTbYOs
1.0
0.000 3.631 3.631
3.631 0.000 3.631
3.631 3.631 0.000
Ca Tb Y Os
1 1 1 1
direct
0.000 0.000 0.000 Ca
0.250 0.250 0.250 Tb
0.750 0.750 0.750 Y
0.500 0.500 0.500 Os
```

Properties
Energy relative to the elements (eV per formula unit): 0.4
Density of states at the Fermi level (states/eV per cell): 3.27
Space-group type: F-43m
Electronic total energy (eV/atom): -5.977

No. 5
The following is a GGA-PBE calculation of an optimized crystal structure of CdCoCl2, from Alexandria via LeMat-Bulk.

Structure (POSCAR):
```
CdCoCl2
1.0
5.964 -1.592 0.000
5.964 1.592 0.000
-4.419 0.000 5.778
Cd Co Cl
1 1 2
direct
0.000 0.000 0.000 Cd
0.258 0.258 0.750 Co
0.690 0.690 0.907 Cl
0.705 0.705 0.464 Cl
```

Properties
Raw formation energy (eV/atom): -0.258
Density of states at the Fermi level (states/eV per cell): 3.16
Space-group type: Cm
Electronic total energy (eV/atom): -3.187

No. 6
The following is a GGA-PBE calculation of an optimized crystal structure of Pr3Dy3Er4, from Alexandria via LeMat-Bulk.

Structure (POSCAR):
```
Pr3Dy3Er4
1.0
3.681 0.000 0.000
0.000 6.684 6.721
0.000 -6.684 6.721
Pr Dy Er
3 3 4
direct
0.000 0.000 0.000 Pr
0.000 0.498 0.848 Pr
0.000 0.848 0.498 Pr
0.000 0.348 0.348 Dy
0.500 0.176 0.667 Dy
0.500 0.667 0.176 Dy
0.500 0.053 0.300 Er
0.500 0.300 0.053 Er
0.500 0.547 0.547 Er
0.500 0.798 0.798 Er
```

Properties
Energy relative to the elements (eV per formula unit): 1.0
Density of states at the Fermi level (states/eV per cell): 7.84
Space-group type: Amm2
Electronic total energy (eV/atom): -4.541

No. 7
The following is a GGA-PBE calculation of an optimized crystal structure of Ce2Hg2C, from Alexandria via LeMat-Bulk.

Structure (POSCAR):
```
Ce2Hg2C
1.0
1.792 1.035 10.532
-1.792 1.035 10.532
0.000 -2.070 10.532
Ce Hg C
2 2 1
direct
0.121 0.121 0.121 Ce
0.879 0.879 0.879 Ce
0.371 0.371 0.371 Hg
0.629 0.629 0.629 Hg
0.500 0.500 0.500 C
```

Properties
Energy relative to the elements (eV per formula unit): -1.2
Density of states at the Fermi level (states/eV per cell): 7.90
Space-group type: R-3m
Electronic total energy (eV/atom): -4.589

No. 8
The following is a GGA-PBE calculation of an optimized crystal structure of Mg2UTl3Te6, from Alexandria via LeMat-Bulk.

Structure (POSCAR):
```
Mg2UTl3Te6
1.0
3.747 -6.493 0.000
3.747 6.493 0.000
-2.490 0.000 8.173
Mg U Tl Te
2 1 3 6
direct
0.167 0.833 0.000 Mg
0.833 0.167 0.000 Mg
0.500 0.500 0.000 U
0.000 0.000 0.500 Tl
0.335 0.665 0.500 Tl
0.665 0.335 0.500 Tl
0.099 0.431 0.794 Te
0.237 0.237 0.208 Te
0.431 0.099 0.794 Te
0.569 0.901 0.206 Te
0.763 0.763 0.792 Te
0.901 0.569 0.206 Te
```

Properties
Raw formation energy (eV/atom): -0.581
Space-group type: C2/m
Electronic total energy (eV/atom): -3.950

No. 9
The following is a GGA-PBE calculation of an optimized crystal structure of Fe3Cu4, from Alexandria via LeMat-Bulk.

Structure (POSCAR):
```
Fe3Cu4
1.0
-1.480 1.480 9.571
1.480 -1.480 9.571
1.480 1.480 -9.571
Fe Cu
3 4
direct
0.000 0.000 0.000 Fe
0.283 0.283 0.000 Fe
0.717 0.717 0.000 Fe
0.142 0.142 0.000 Cu
0.428 0.428 0.000 Cu
0.572 0.572 0.000 Cu
0.858 0.858 0.000 Cu
```

Properties
Energy relative to the elements (eV per formula unit): 1.1
Density of states at the Fermi level (states/eV per cell): 4.58
Space-group type: I4/mmm
Electronic total energy (eV/atom): -5.815

No. 10
The following is a GGA-PBE calculation of an optimized crystal structure of KTaS5, from Alexandria via LeMat-Bulk.

Structure (POSCAR):
```
KTaS5
1.0
15.727 0.000 0.000
0.000 6.499 0.000
-7.804 0.000 13.707
K Ta S
8 8 40
direct
0.147 0.138 0.081 K
0.147 0.362 0.581 K
0.350 0.634 0.437 K
0.350 0.866 0.937 K
0.650 0.134 0.063 K
0.650 0.366 0.563 K
0.853 0.638 0.419 K
0.853 0.862 0.919 K
0.034 0.081 0.743 Ta
0.034 0.419 0.243 Ta
0.465 0.578 0.210 Ta
0.465 0.922 0.710 Ta
0.535 0.078 0.290 Ta
0.535 0.422 0.790 Ta
0.966 0.581 0.757 Ta
0.966 0.919 0.257 Ta
0.040 0.636 0.377 S
0.040 0.864 0.877 S
0.052 0.583 0.108 S
0.052 0.917 0.608 S
0.108 0.746 0.736 S
0.108 0.754 0.236 S
0.121 0.148 0.371 S
0.121 0.352 0.871 S
0.198 0.236 0.806 S
0.198 0.264 0.306 S
0.300 0.729 0.116 S
0.300 0.771 0.616 S
0.382 0.651 0.757 S
0.382 0.849 0.257 S
0.391 0.242 0.131 S
0.391 0.258 0.631 S
0.443 0.086 0.555 S
0.443 0.414 0.055 S
0.463 0.140 0.840 S
0.463 0.360 0.340 S
0.537 0.640 0.660 S
0.537 0.860 0.160 S
0.557 0.586 0.945 S
0.557 0.914 0.445 S
0.609 0.742 0.369 S
0.609 0.758 0.869 S
0.618 0.151 0.743 S
0.618 0.349 0.243 S
0.700 0.229 0.384 S
0.700 0.271 0.884 S
0.802 0.736 0.694 S
0.802 0.764 0.194 S
0.879 0.648 0.129 S
0.879 0.852 0.629 S
0.892 0.246 0.764 S
0.892 0.254 0.264 S
0.948 0.083 0.392 S
0.948 0.417 0.892 S
0.960 0.136 0.123 S
0.960 0.364 0.623 S
```

Properties
Raw formation energy (eV/atom): -0.816
Space-group type: P2_1/c
Electronic total energy (eV/atom): -5.614

Asked for magnetic moment across the records above, the calculation gives 0.0 18.0 0.0 0.0 2.4 0.0 1.4 1.0 8.1 0.0 μB per cell in order.